1.
PBE+U Li2V2P3O12, optimized geometry; size of the total moment = 3.0 μB per formula unit; calculated density = 2.9 g/cm³; distance to the lowest polymorph of the same formula = 0 kJ/mol of formula units; space group = No. 14
1.0
-1.9649 -4.7240 -7.0156
5.9972 -5.6676 2.1367
-2.2670 -11.9694 8.6946
Li V P O
8 8 12 48
Direct
0.9071 0.3890 0.6951 Li
0.2219 0.0240 0.1847 Li
0.7219 0.9760 0.3153 Li
0.4071 0.6110 0.8049 Li
0.5929 0.3890 0.1951 Li
0.2781 0.0240 0.6847 Li
0.7781 0.9760 0.8153 Li
0.0929 0.6110 0.3049 Li
0.9728 0.3647 0.8900 V
0.4728 0.6353 0.6100 V
0.0369 0.8665 0.3888 V
0.5369 0.1335 0.1112 V
0.4631 0.8665 0.8888 V
0.9631 0.1335 0.6112 V
0.5272 0.3647 0.3900 V
0.0272 0.6353 0.1100 V
0.7496 0.5410 0.4943 P
0.6145 0.2597 0.8501 P
0.9000 0.9648 0.1440 P
0.1145 0.7403 0.6499 P
0.4000 0.0352 0.3560 P
0.2496 0.4590 0.0057 P
0.7504 0.5410 0.9943 P
0.6000 0.9648 0.6440 P
0.8855 0.2597 0.3501 P
0.1000 0.0352 0.8560 P
0.3855 0.7403 0.1499 P
0.2504 0.4590 0.5057 P
0.1290 0.6144 0.4355 O
0.1003 0.1930 0.8781 O
0.3330 0.4904 0.5861 O
0.4103 0.8949 0.1727 O
0.6416 0.5275 0.5806 O
0.5715 0.1873 0.9657 O
0.7905 0.3081 0.8286 O
0.0175 0.8974 0.2383 O
0.7384 0.9855 0.1788 O
0.8235 0.7401 0.4259 O
0.9574 0.1565 0.0448 O
0.5144 0.4404 0.7706 O
0.0144 0.5596 0.7294 O
0.4574 0.8435 0.4552 O
0.3235 0.2599 0.0741 O
0.2384 0.0145 0.3212 O
0.2905 0.6919 0.6714 O
0.0715 0.8127 0.5343 O
0.5175 0.1026 0.2617 O
0.1416 0.4725 0.9194 O
0.8330 0.5096 0.9139 O
0.6003 0.8070 0.6219 O
0.9103 0.1051 0.3273 O
0.6290 0.3856 0.0645 O
0.3710 0.6144 0.9355 O
0.0897 0.8949 0.6727 O
0.3997 0.1930 0.3781 O
0.1670 0.4904 0.0861 O
0.8584 0.5275 0.0806 O
0.4825 0.8974 0.7383 O
0.9285 0.1873 0.4657 O
0.7095 0.3081 0.3286 O
0.7616 0.9855 0.6788 O
0.6765 0.7401 0.9259 O
0.5426 0.1565 0.5448 O
0.9856 0.4404 0.2706 O
0.4856 0.5596 0.2294 O
0.0426 0.8435 0.9552 O
0.1765 0.2599 0.5741 O
0.2616 0.0145 0.8212 O
0.9825 0.1026 0.7617 O
0.2095 0.6919 0.1714 O
0.4285 0.8127 0.0343 O
0.3584 0.4725 0.4194 O
0.5897 0.1051 0.8273 O
0.6670 0.5096 0.4139 O
0.8997 0.8070 0.1219 O
0.8710 0.3856 0.5645 O


2.
PBE+U LiVP2O7, optimized geometry; size of the total moment = 2.0 μB per formula unit; calculated density = 3.0 g/cm³; DFT total energy = -7.245 eV per atom; space group = No. 2
1.0
-5.2467 -2.9211 -2.1552
-1.7721 -2.8725 5.5667
-5.6887 3.7820 0.7819
Li V P O
2 2 4 14
Direct
0.7070 0.0004 0.8330 Li
0.2930 0.9996 0.1670 Li
0.9073 0.3548 0.2154 V
0.0927 0.6452 0.7846 V
0.2142 0.1313 0.7682 P
0.3440 0.3892 0.3573 P
0.6560 0.6108 0.6427 P
0.7858 0.8687 0.2318 P
0.3888 0.0492 0.8594 O
0.9368 0.0275 0.2455 O
0.3530 0.2107 0.5317 O
0.2169 0.3084 0.2358 O
0.0554 0.3283 0.8866 O
0.5930 0.4041 0.2148 O
0.7786 0.4107 0.5258 O
0.2214 0.5893 0.4742 O
0.4070 0.5959 0.7852 O
0.9446 0.6717 0.1134 O
0.7831 0.6916 0.7642 O
0.6470 0.7893 0.4683 O
0.0632 0.9725 0.7545 O
0.6112 0.9508 0.1406 O


3.
PBE+U Li4VP2O8, optimized geometry; size of the total moment = 3.0 μB per formula unit; calculated density = 2.6 g/cm³; DFT total energy = -6.644 eV per atom; space group = No. 14
1.0
-1.3141 1.1449 -8.0938
-7.5200 -1.9501 3.3502
-1.8426 10.0657 1.7230
Li V P O
16 4 8 32
Direct
0.6208 0.1263 0.3393 Li
0.6538 0.1626 0.8376 Li
0.1585 0.1365 0.6577 Li
0.4824 0.2360 0.5709 Li
0.5176 0.2640 0.0709 Li
0.8415 0.3635 0.1577 Li
0.3462 0.3374 0.3376 Li
0.3792 0.3737 0.8393 Li
0.6208 0.6263 0.1607 Li
0.6538 0.6626 0.6624 Li
0.1585 0.6365 0.8423 Li
0.4824 0.7360 0.9291 Li
0.5176 0.7640 0.4291 Li
0.8415 0.8635 0.3423 Li
0.3462 0.8374 0.1624 Li
0.3792 0.8737 0.6607 Li
0.1170 0.1272 0.1455 V
0.8830 0.3728 0.6455 V
0.1170 0.6272 0.3545 V
0.8830 0.8728 0.8545 V
0.7765 0.0414 0.5846 P
0.2866 0.0103 0.9078 P
0.7134 0.4897 0.4078 P
0.7765 0.5414 0.9154 P
0.2235 0.4586 0.0846 P
0.2866 0.5103 0.5922 P
0.7134 0.9897 0.0922 P
0.2235 0.9586 0.4154 P
0.7532 0.0273 0.9470 O
0.6622 0.1451 0.6430 O
0.9560 0.1647 0.5815 O
0.2905 0.0205 0.5511 O
0.6606 0.1353 0.1552 O
0.1308 0.0380 0.8362 O
0.2253 0.1049 0.3272 O
0.4324 0.1730 0.8964 O
0.5676 0.3270 0.3964 O
0.7747 0.3951 0.8272 O
0.8692 0.4620 0.3362 O
0.3394 0.3647 0.6552 O
0.7095 0.4795 0.0511 O
0.0440 0.3353 0.0815 O
0.7532 0.5273 0.5530 O
0.3378 0.3549 0.1430 O
0.6622 0.6451 0.8570 O
0.2468 0.4727 0.4470 O
0.9560 0.6647 0.9185 O
0.2905 0.5205 0.9489 O
0.6606 0.6353 0.3448 O
0.1308 0.5380 0.6638 O
0.2253 0.6049 0.1728 O
0.4324 0.6730 0.6036 O
0.5676 0.8270 0.1036 O
0.7747 0.8951 0.6728 O
0.8692 0.9620 0.1638 O
0.3394 0.8647 0.8448 O
0.7095 0.9795 0.4489 O
0.0440 0.8353 0.4185 O
0.3378 0.8549 0.3570 O
0.2468 0.9727 0.0530 O


4.
PBE+U Li4VP2O8, optimized geometry; size of the total moment = 3.0 μB per formula unit; calculated density = 2.8 g/cm³; DFT total energy = -6.644 eV per atom; space group = No. 2
1.0
-0.0912 -3.8787 -3.1119
4.7100 1.8999 -1.3194
2.1956 -3.3439 4.7750
Li V P O
4 1 2 8
Direct
0.1513 0.2920 0.5161 Li
0.8487 0.7080 0.4839 Li
0.3592 0.6221 0.2084 Li
0.6408 0.3779 0.7916 Li
0.0000 0.0000 0.0000 V
0.3684 0.8181 0.7314 P
0.6316 0.1819 0.2686 P
0.2291 0.6873 0.9206 O
0.7709 0.3127 0.0794 O
0.2469 0.6740 0.5132 O
0.7531 0.3260 0.4868 O
0.3198 0.1930 0.2454 O
0.6802 0.8070 0.7546 O
0.2949 0.0999 0.7477 O
0.7051 0.9001 0.2523 O


5.
PBE+U Li2V2P3O12, optimized geometry; size of the total moment = 3.0 μB per formula unit; calculated density = 2.9 g/cm³; distance to the lowest polymorph of the same formula = 8 kJ/mol of formula units; space group = No. 2
1.0
-3.2371 -7.6203 -0.7182
3.7542 2.2261 7.2435
-5.7065 6.8741 0.6245
Li V P O
4 4 6 24
Direct
0.0590 0.7332 0.1456 Li
0.8114 0.0732 0.1432 Li
0.1886 0.9268 0.8568 Li
0.9410 0.2668 0.8544 Li
0.7007 0.3533 0.0576 V
0.2909 0.1539 0.4352 V
0.7091 0.8461 0.5648 V
0.2993 0.6467 0.9424 V
0.7877 0.7516 0.2547 P
0.4962 0.0315 0.2514 P
0.2119 0.4588 0.2439 P
0.7881 0.5412 0.7561 P
0.5038 0.9685 0.7486 P
0.2123 0.2484 0.7453 P
0.7113 0.5439 0.2045 O
0.0085 0.8875 0.2695 O
0.8219 0.8096 0.4386 O
0.2951 0.8469 0.0873 O
0.3896 0.1214 0.2913 O
0.6577 0.1666 0.2027 O
0.0340 0.4957 0.2114 O
0.2304 0.4579 0.0798 O
0.6243 0.7950 0.1189 O
0.5702 0.3914 0.5867 O
0.8644 0.7448 0.7368 O
0.3876 0.0161 0.5856 O
0.6124 0.9839 0.4144 O
0.1356 0.2552 0.2632 O
0.4298 0.6086 0.4133 O
0.3757 0.2050 0.8811 O
0.7696 0.5421 0.9202 O
0.9660 0.5043 0.7886 O
0.3423 0.8334 0.7973 O
0.6103 0.8786 0.7087 O
0.7049 0.1531 0.9127 O
0.1781 0.1904 0.5614 O
0.9915 0.1125 0.7305 O
0.2887 0.4561 0.7955 O


6.
PBE+U Li2V3P9O28, optimized geometry; size of the total moment = 6.0 μB per formula unit; calculated density = 3.0 g/cm³; DFT total energy = -7.248 eV per atom; space group = No. 2
1.0
-1.6838 6.8931 0.3453
-8.2838 -3.4518 1.5514
5.8640 -2.0746 6.8522
Li V P O
2 3 9 28
Direct
0.2142 0.9168 0.7490 Li
0.7858 0.0832 0.2510 Li
0.0000 0.5000 0.5000 V
0.2643 0.0220 0.2598 V
0.7357 0.9780 0.7402 V
0.2883 0.7610 0.4409 P
0.8157 0.7600 0.9677 P
0.6358 0.6622 0.3886 P
0.1836 0.6998 0.9234 P
0.5000 0.5000 0.0000 P
0.3642 0.3378 0.6114 P
0.8164 0.3002 0.0766 P
0.7117 0.2390 0.5591 P
0.1843 0.2400 0.0323 P
0.4170 0.8844 0.6310 O
0.9244 0.9141 0.1405 O
0.3113 0.8773 0.0527 O
0.7631 0.8394 0.5201 O
0.7493 0.7980 0.8157 O
0.2679 0.8393 0.3204 O
0.6001 0.6504 0.2057 O
0.1207 0.6905 0.7450 O
0.6201 0.6404 0.9504 O
0.0792 0.6638 0.4157 O
0.4074 0.6257 0.3868 O
0.9732 0.6504 0.9497 O
0.2793 0.5635 0.9508 O
0.7158 0.5274 0.4200 O
0.7207 0.4365 0.0492 O
0.2842 0.4726 0.5800 O
0.5926 0.3743 0.6132 O
0.0268 0.3496 0.0503 O
0.3799 0.3596 0.0496 O
0.9208 0.3362 0.5843 O
0.3999 0.3496 0.7943 O
0.8793 0.3095 0.2550 O
0.2507 0.2020 0.1843 O
0.7321 0.1607 0.6796 O
0.6887 0.1227 0.9473 O
0.2369 0.1606 0.4799 O
0.5830 0.1156 0.3690 O
0.0756 0.0859 0.8595 O


7.
PBE+U Li2VP2O8, optimized geometry; size of the total moment = 1.0 μB per formula unit; calculated density = 2.8 g/cm³; distance to the lowest polymorph of the same formula = 17 kJ/mol of formula units; space group = No. 14
1.0
5.0133 0.2840 0.0000
0.4745 7.6371 0.0000
0.0000 0.0000 7.9170
Li V P O
4 2 4 16
Direct
0.4125 0.1043 0.6291 Li
0.0875 0.3957 0.1291 Li
0.9125 0.6043 0.8709 Li
0.5875 0.8957 0.3709 Li
0.5000 0.0000 0.0000 V
0.0000 0.5000 0.5000 V
0.9464 0.2100 0.8108 P
0.5536 0.2900 0.3108 P
0.4464 0.7100 0.6892 P
0.0536 0.7900 0.1892 P
0.8050 0.9217 0.1214 O
0.6950 0.5783 0.6214 O
0.3050 0.4217 0.3786 O
0.1950 0.0783 0.8786 O
0.7079 0.0978 0.8060 O
0.7921 0.4022 0.3060 O
0.2079 0.5978 0.6940 O
0.2921 0.9022 0.1940 O
0.6029 0.1364 0.4287 O
0.8971 0.3636 0.9287 O
0.1029 0.6364 0.0713 O
0.3971 0.8636 0.5713 O
0.0366 0.2625 0.6313 O
0.4634 0.2375 0.1313 O
0.5366 0.7625 0.8687 O
0.9634 0.7375 0.3687 O


8.
PBE+U Li2V2P3O12, optimized geometry; size of the total moment = 3.0 μB per formula unit; calculated density = 2.9 g/cm³; distance to the lowest polymorph of the same formula = 13 kJ/mol of formula units; space group = No. 2
1.0
8.6512 -0.0121 0.0310
4.1997 7.5392 0.0139
-0.1431 5.0173 7.1005
P V O Li
6 4 24 4
Direct
0.9687 0.7822 0.7487 P
0.5425 0.4909 0.7504 P
0.2518 0.2123 0.7437 P
0.7482 0.7877 0.2563 P
0.4575 0.5091 0.2496 P
0.0313 0.2178 0.2513 P
0.6338 0.7151 0.9224 V
0.8599 0.2921 0.5748 V
0.1401 0.7079 0.4252 V
0.3661 0.2849 0.0776 V
0.9283 0.9912 0.7225 O
0.0017 0.7765 0.5756 O
0.7960 0.7730 0.7627 O
0.7337 0.3286 0.7496 O
0.5420 0.3485 0.9494 O
0.5486 0.6781 0.7239 O
0.2905 0.2291 0.9023 O
0.4196 0.0327 0.7382 O
0.8132 0.5799 0.4574 O
0.9043 0.8340 0.2418 O
0.1479 0.6026 0.9232 O
0.6241 0.4151 0.4082 O
0.3759 0.5849 0.5918 O
0.8521 0.3974 0.0768 O
0.0957 0.1660 0.7582 O
0.1868 0.4201 0.5426 O
0.5804 0.9673 0.2618 O
0.7095 0.7709 0.0977 O
0.4514 0.3219 0.2761 O
0.4581 0.6515 0.0506 O
0.2663 0.6714 0.2504 O
0.2040 0.2270 0.2373 O
0.9983 0.2235 0.4244 O
0.0716 0.0088 0.2775 O
0.6874 0.7679 0.5603 Li
0.1703 0.8515 0.9270 Li
0.8297 0.1485 0.0730 Li
0.3126 0.2321 0.4397 Li